(1)
K2AgO2 | PBE | relaxed

Computed properties:
Crystal system: orthorhombic
Uncorrected energy: -18.63 eV per formula unit
Space group: Pnma, No. 62
Energy relative to the elements, uncorrected: -0.734 eV per atom
Volume: 21.047 Å³/atom

Cell lengths 5.6077, 6.9859, 10.7453 Å; angles 90.00, 90.00, 90.00 degrees
With the nearest neighbours (Å) after each atom.
Fractional coordinates of all 20 atoms:
K (0.7500, 0.6702, 0.5618)  5 O 2.68-2.81
K (0.2500, 0.8298, 0.0618)  5 O 2.68-2.81
K (0.2500, 0.3298, 0.4382)  5 O 2.68-2.81
K (0.7500, 0.1702, 0.9382)  5 O 2.68-2.81
K (0.7500, 0.0513, 0.2756)  3 O 2.64-2.81
K (0.2500, 0.4487, 0.7756)  3 O 2.64-2.81
K (0.2500, 0.9487, 0.7244)  3 O 2.64-2.81
K (0.7500, 0.5513, 0.2244)  3 O 2.64-2.81
Ag (0.7500, 0.2045, 0.6280)  3 O 2.04-2.28
Ag (0.2500, 0.2955, 0.1280)  3 O 2.04-2.28
Ag (0.2500, 0.7955, 0.3720)  3 O 2.04-2.28
Ag (0.7500, 0.7045, 0.8720)  3 O 2.04-2.28
O (0.7500, 0.4500, 0.7673)  2 Ag 2.10-2.28
O (0.2500, 0.0500, 0.2673)  2 Ag 2.10-2.28
O (0.2500, 0.5500, 0.2327)  2 Ag 2.10-2.28
O (0.7500, 0.9500, 0.7327)  2 Ag 2.10-2.28
O (0.7500, 0.8134, 0.0478)  1 Ag 2.04
O (0.2500, 0.6866, 0.5478)  1 Ag 2.04
O (0.2500, 0.1866, 0.9522)  1 Ag 2.04
O (0.7500, 0.3134, 0.4522)  1 Ag 2.04

(2)
CsTl2Zn | PBE | relaxed

Computed properties:
Crystal system: trigonal
ΔH_f (0 K): -14 meV per atom
Uncorrected energy: -6.92 eV per formula unit
Space group: R3m, No. 160
Volume: 38.140 Å³/atom

Cell lengths 4.8315, 4.8315, 8.0456 Å; angles 72.53, 72.53, 60.00 degrees
With the nearest neighbours (Å) after each atom.
Fractional coordinates of all 4 atoms:
Cs (0.4990, 0.4990, 0.5029)  1 Zn 3.90, 6 Tl 3.92-3.95
Tl (0.0424, 0.0424, 0.8728)  3 Zn 2.92
Tl (0.2875, 0.2875, 0.1376)  3 Zn 3.01
Zn (0.6711, 0.6711, 0.9868)  6 Tl 2.92-3.01

(3)
CdP2W | PBE | relaxed

Computed properties:
Crystal system: monoclinic
ΔH_f (0 K): 241 meV per atom
Uncorrected energy: -23.72 eV per formula unit
Space group: Pm, No. 6
Volume: 17.347 Å³/atom

Cell lengths 4.6256, 3.4317, 4.6911 Å; angles 68.72, 90.00, 90.00 degrees
With the nearest neighbours (Å) after each atom.
Fractional coordinates of all 4 atoms:
Cd (0.5000, 0.7089, 0.7102)  3 P 2.44-2.58
P (0.0000, 0.0372, 0.0483)  3 W 2.52-2.53
P (0.5000, 0.4276, 0.2695)  3 Cd 2.44-2.58, 2 W 2.48
W (0.0000, 0.3263, 0.4720)  5 P 2.48-2.53

(4)
CuSnSeS | PBE | relaxed

Computed properties:
Crystal system: monoclinic
Uncorrected energy: -16.45 eV per formula unit
Space group: Cm, No. 8
Energy relative to the elements, uncorrected: -0.185 eV per atom
Volume: 25.004 Å³/atom

Cell lengths 4.3925, 4.3925, 6.7695 Å; angles 88.78, 107.20, 125.25 degrees
With the nearest neighbours (Å) after each atom.
Fractional coordinates of all 4 atoms:
Cu (0.1932, 0.9860, 0.1792)  1 S 2.34, 3 Se 2.50-2.54
Sn (0.2233, 0.4718, 0.6951)  1 Se 2.62, 3 S 2.64-2.65
Se (0.4670, 0.6403, 0.1073)  3 Cu 2.50-2.54, 1 Sn 2.62
S (0.4455, 0.1027, 0.5482)  1 Cu 2.34

(5)
Dy2TlCd2 | PBE | relaxed

Computed properties:
Crystal system: monoclinic
ΔH_f (0 K): -248 meV per atom
Uncorrected energy: -14.64 eV per formula unit
Space group: C2/m, No. 12
Volume: 26.068 Å³/atom

Cell lengths 5.0386, 6.1761, 9.7725 Å; angles 95.92, 75.06, 65.93 degrees
With the nearest neighbours (Å) after each atom.
Fractional coordinates of all 10 atoms:
Dy (0.7002, 0.2558, 0.3438)  7 Cd 3.18-3.47, 4 Tl 3.25-3.54, 2 Dy 3.49-3.53
Dy (0.8952, 0.2721, 0.9376)  4 Cd 3.21-3.47, 2 Tl 3.28, 4 Dy 3.49-3.59
Dy (0.2998, 0.7442, 0.6562)  7 Cd 3.18-3.47, 4 Tl 3.25-3.54, 2 Dy 3.49-3.53
Dy (0.1048, 0.7279, 0.0624)  4 Cd 3.21-3.47, 2 Tl 3.28, 4 Dy 3.49-3.59
Tl (0.5482, 0.1949, 0.7087)  3 Cd 2.95, 3 Dy 3.25-3.28
Tl (0.4518, 0.8051, 0.2913)  3 Cd 2.95, 3 Dy 3.25-3.28
Cd (0.0575, 0.3092, 0.5759)  1 Cd 2.85, 2 Tl 2.95
Cd (0.6657, 0.8021, 0.8666)  1 Cd 2.94, 1 Tl 2.95, 5 Dy 3.18-3.21
Cd (0.9425, 0.6908, 0.4241)  1 Cd 2.85, 2 Tl 2.95
Cd (0.3343, 0.1979, 0.1334)  1 Cd 2.94, 1 Tl 2.95, 5 Dy 3.18-3.21

(6)
Y2VH | PBE | relaxed

Computed properties:
Crystal system: trigonal
Uncorrected energy: -23.62 eV per formula unit
Space group: R-3m, No. 166
Volume: 20.605 Å³/atom

Cell lengths 3.3345, 3.3345, 8.7734 Å; angles 79.05, 79.05, 60.00 degrees
With the nearest neighbours (Å) after each atom.
Fractional coordinates of all 4 atoms:
Y (0.1111, 0.1111, 0.6667)  3 H 2.40
Y (0.8889, 0.8889, 0.3333)  3 H 2.40
H (0.5000, 0.5000, 0.5000)  6 Y 2.40
V (0.0000, 0.0000, 0.0000)  2 Y 2.85

(7)
Ti2ZnIn2Pd5 | PBE | relaxed

Computed properties:
Crystal system: tetragonal
ΔH_f (0 K): -252 meV per atom
Uncorrected energy: -51.02 eV per formula unit
Space group: P4/mbm, No. 127
Volume: 17.658 Å³/atom

Cell lengths 3.9791, 9.4209, 9.4209 Å; angles 90.00, 90.00, 90.00 degrees
With the nearest neighbours (Å) after each atom.
Fractional coordinates of all 20 atoms:
Ti (0.0000, 0.1194, 0.6194)  6 Pd 2.55-2.66, 3 In 2.72-2.83
Ti (0.0000, 0.8806, 0.3806)  6 Pd 2.55-2.66, 3 In 2.72-2.83
Ti (0.0000, 0.6194, 0.8806)  6 Pd 2.55-2.66, 3 In 2.72-2.83
Ti (0.0000, 0.3806, 0.1194)  6 Pd 2.55-2.66, 3 In 2.72-2.83
Zn (0.0000, 0.0000, 0.0000)  8 Pd 2.83
Zn (0.0000, 0.5000, 0.5000)  8 Pd 2.83
In (0.0000, 0.6760, 0.1760)  3 Ti 2.72-2.83, 4 Pd 3.04
In (0.0000, 0.3240, 0.8240)  3 Ti 2.72-2.83, 4 Pd 3.04
In (0.0000, 0.1760, 0.3240)  3 Ti 2.72-2.83, 4 Pd 3.04
In (0.0000, 0.8240, 0.6760)  3 Ti 2.72-2.83, 4 Pd 3.04
Pd (0.5000, 0.1972, 0.0815)  2 Ti 2.66, 2 Zn 2.83, 4 Pd 2.84-2.95
Pd (0.5000, 0.8028, 0.9185)  2 Ti 2.66, 2 Zn 2.83, 4 Pd 2.84-2.95
Pd (0.5000, 0.0815, 0.8028)  2 Ti 2.66, 2 Zn 2.83, 4 Pd 2.84-2.95
Pd (0.5000, 0.6972, 0.4185)  2 Ti 2.66, 2 Zn 2.83, 4 Pd 2.84-2.95
Pd (0.5000, 0.9185, 0.1972)  2 Ti 2.66, 2 Zn 2.83, 4 Pd 2.84-2.95
Pd (0.5000, 0.3028, 0.5815)  2 Ti 2.66, 2 Zn 2.83, 4 Pd 2.84-2.95
Pd (0.5000, 0.5815, 0.6972)  2 Ti 2.66, 2 Zn 2.83, 4 Pd 2.84-2.95
Pd (0.5000, 0.4185, 0.3028)  2 Ti 2.66, 2 Zn 2.83, 4 Pd 2.84-2.95
Pd (0.5000, 0.5000, 0.0000)  4 Ti 2.55
Pd (0.5000, 0.0000, 0.5000)  4 Ti 2.55

(8)
SrIrPt | PBE | relaxed

Computed properties:
Crystal system: orthorhombic
ΔH_f (0 K): -412 meV per atom
Uncorrected energy: -17.82 eV per formula unit
Space group: Imma, No. 74
Volume: 22.788 Å³/atom

Cell lengths 6.6422, 6.6422, 4.5418 Å; angles 109.99, 109.99, 116.34 degrees
With the nearest neighbours (Å) after each atom.
Fractional coordinates of all 6 atoms:
Sr (0.6203, 0.8797, 0.2500)  4 Pt 3.01, 2 Ir 3.26
Sr (0.3797, 0.1203, 0.7500)  4 Pt 3.01, 2 Ir 3.26
Pt (0.0000, 0.0000, 0.0000)  2 Ir 2.66, 2 Pt 2.67
Pt (0.5000, 0.5000, 0.5000)  2 Ir 2.66, 2 Pt 2.67
Ir (0.0462, 0.4538, 0.2500)  2 Ir 2.50, 2 Pt 2.66
Ir (0.9538, 0.5462, 0.7500)  2 Ir 2.50, 2 Pt 2.66

(9)
B | PBE | relaxed

Computed properties:
Crystal system: hexagonal
ΔH_f (0 K): 718 meV per atom
Uncorrected energy: -5.96 eV per formula unit
Space group: P6/mmm, No. 191
Volume: 10.950 Å³/atom

Cell lengths 1.7105, 1.7105, 4.3215 Å; angles 90.00, 90.00, 120.00 degrees
With the nearest neighbours (Å) after each atom.
Fractional coordinates of all 1 atoms:
B (0.0000, 0.0000, 0.0000)  6 B 1.71

(10)
TiFe2B | PBE | relaxed

Computed properties:
Crystal system: tetragonal
ΔH_f (0 K): -44 meV per atom
Uncorrected energy: -31.67 eV per formula unit
Space group: I-42d, No. 122
Volume: 11.373 Å³/atom

Cell lengths 6.3663, 6.3663, 5.0304 Å; angles 50.74, 50.74, 90.00 degrees
With the nearest neighbours (Å) after each atom.
Fractional coordinates of all 8 atoms:
B (0.5000, 0.5000, 0.0000)  4 Fe 1.94
B (0.2500, 0.7500, 0.5000)  4 Fe 1.94
Fe (0.5266, 0.1250, 0.2500)  2 B 1.94
Fe (0.2234, 0.6250, 0.2500)  2 B 1.94
Fe (0.3750, 0.4734, 0.7500)  2 B 1.94
Fe (0.8750, 0.7766, 0.7500)  2 B 1.94
Ti (0.0000, 0.0000, 0.0000)  2 B 2.24, 4 Fe 2.51
Ti (0.7500, 0.2500, 0.5000)  2 B 2.24, 4 Fe 2.51

(11)
HoThTlZn | PBE | relaxed

Computed properties:
Crystal system: cubic
ΔH_f (0 K): -197 meV per atom
Uncorrected energy: -16.43 eV per formula unit
Space group: F-43m, No. 216
Volume: 26.280 Å³/atom

Cell lengths 5.2974, 5.2974, 5.2974 Å; angles 60.00, 60.00, 60.00 degrees
With the nearest neighbours (Å) after each atom.
Fractional coordinates of all 4 atoms:
Zn (0.0000, 0.0000, 0.0000)  4 Th 3.24, 4 Ho 3.24
Tl (0.5000, 0.5000, 0.5000)  4 Th 3.24, 4 Ho 3.24
Ho (0.7500, 0.7500, 0.7500)  4 Tl 3.24, 4 Zn 3.24
Th (0.2500, 0.2500, 0.2500)  4 Tl 3.24, 4 Zn 3.24

(12)
ScRe2Ir | PBE | relaxed

Computed properties:
Crystal system: tetragonal
ΔH_f (0 K): 445 meV per atom
Uncorrected energy: -38.31 eV per formula unit
Space group: I-42d, No. 122
Volume: 17.985 Å³/atom

Cell lengths 7.5466, 7.5466, 5.9041 Å; angles 50.28, 50.28, 90.00 degrees
With the nearest neighbours (Å) after each atom.
Fractional coordinates of all 8 atoms:
Sc (0.5000, 0.5000, 0.0000)  2 Ir 2.53
Sc (0.2500, 0.7500, 0.5000)  2 Ir 2.53
Re (0.6651, 0.1250, 0.2500)  2 Ir 2.54, 2 Re 2.60
Re (0.0849, 0.6250, 0.2500)  2 Ir 2.54, 2 Re 2.60
Re (0.3750, 0.3349, 0.7500)  2 Ir 2.54, 2 Re 2.60
Re (0.8750, 0.9151, 0.7500)  2 Ir 2.54, 2 Re 2.60
Ir (0.0000, 0.0000, 0.0000)  2 Sc 2.53, 4 Re 2.54
Ir (0.7500, 0.2500, 0.5000)  2 Sc 2.53, 4 Re 2.54

- Look up the uncorrected energy of the second one.
  -6.92 eV per formula unit

- Number 12 is which compound?
  ScRe2Ir

Repeat the second record exactly.
CsTl2Zn | PBE | relaxed

Computed properties:
Crystal system: trigonal
ΔH_f (0 K): -14 meV per atom
Uncorrected energy: -6.92 eV per formula unit
Space group: R3m, No. 160
Volume: 38.140 Å³/atom

Cell lengths 4.8315, 4.8315, 8.0456 Å; angles 72.53, 72.53, 60.00 degrees
With the nearest neighbours (Å) after each atom.
Fractional coordinates of all 4 atoms:
Cs (0.4990, 0.4990, 0.5029)  1 Zn 3.90, 6 Tl 3.92-3.95
Tl (0.0424, 0.0424, 0.8728)  3 Zn 2.92
Tl (0.2875, 0.2875, 0.1376)  3 Zn 3.01
Zn (0.6711, 0.6711, 0.9868)  6 Tl 2.92-3.01